Entry from the Alexandria database: an optimized crystal structure of Zn3Ru (PBE).

The structure belongs to space group Imm2 (No. 44); the cell edges are 2.7908, 8.7655 and 4.6634 Å and the angles 90.00°, 90.00° and 90.00°. Symmetry generates all atoms from Zn at (0.0000, 0.0000, 0.0000), Zn at (0.0000, 0.2455, 0.6630) and Ru at (0.0000, 0.5000, 0.9908).

For the energy of formation from the pure elements, the calculation gives -0.047 eV per atom. For the spin magnetization, the calculation gives 0.879 μB per formula unit.